[1]
Compound: Ac2Ga4Ni3Ru
Source: Alexandria
Functional: PBE
Structure: relaxed

```
data_Ac2Ga4Ni3Ru
_chemical_formula_sum 'Ac2 Ga4 Ni3 Ru1'
_cell_length_a 4.326
_cell_length_b 4.326
_cell_length_c 10.121
_cell_angle_alpha 90.00
_cell_angle_beta 90.00
_cell_angle_gamma 90.00
_symmetry_space_group_name_H-M 'P -4 m 2'
_symmetry_Int_Tables_number 115
loop_
_symmetry_equiv_pos_as_xyz
'x,y,z'
'y,-x,-z'
'-x,-y,z'
'-y,x,-z'
'-x,y,z'
'-y,-x,-z'
'x,-y,z'
'y,x,-z'
loop_
_atom_site_label
_atom_site_type_symbol
_atom_site_fract_x
_atom_site_fract_y
_atom_site_fract_z
_atom_site_occupancy
Ac1 Ac 0.000 0.500 0.244 1
Ga1 Ga 0.000 0.000 0.500 1
Ga2 Ga 0.000 0.500 0.877 1
Ga3 Ga 0.500 0.500 0.500 1
Ni1 Ni 0.000 0.000 0.000 1
Ni2 Ni 0.000 0.500 0.625 1
Ru1 Ru 0.500 0.500 0.000 1
```

Computed properties:
DFT formation energy ... -0.495 eV per atom

=====

[2]
Compound: SnBRh3
Source: Alexandria
Functional: PBE
Structure: relaxed

```
data_SnBRh3
_chemical_formula_sum 'Sn4 B4 Rh12'
_cell_length_a 5.347
_cell_length_b 7.294
_cell_length_c 7.585
_cell_angle_alpha 90.00
_cell_angle_beta 90.00
_cell_angle_gamma 90.00
_symmetry_space_group_name_H-M 'P n m a'
_symmetry_Int_Tables_number 62
loop_
_symmetry_equiv_pos_as_xyz
'x,y,z'
'-x,-y,-z'
'-x+1/2,-y,z+1/2'
'x+1/2,y,-z+1/2'
'x+1/2,-y+1/2,-z+1/2'
'-x+1/2,y+1/2,z+1/2'
'-x,y+1/2,-z'
'x,-y+1/2,z'
loop_
_atom_site_label
_atom_site_type_symbol
_atom_site_fract_x
_atom_site_fract_y
_atom_site_fract_z
_atom_site_occupancy
Sn1 Sn 0.000 0.000 0.000 1
B1 B 0.081 0.250 0.457 1
Rh1 Rh 0.054 0.570 0.341 1
Rh2 Rh 0.241 0.750 0.705 1
```

Computed properties:
DFT formation energy ... -0.154 eV per atom

=====

[3]
Compound: Rb2MnP2S6
Source: Alexandria
Functional: PBE
Structure: relaxed

```
data_Rb2MnP2S6
_chemical_formula_sum 'Rb6 Mn3 P6 S18'
_cell_length_a 6.8645
_cell_length_b 6.8645
_cell_length_c 19.8085
_cell_angle_alpha 90.00
_cell_angle_beta 90.00
_cell_angle_gamma 120.00
_symmetry_space_group_name_H-M 'R -3 m'
_symmetry_Int_Tables_number 166
_symmetry_space_group_name_Hall '-R 3 2"'
loop_
_atom_site_label
_atom_site_type_symbol
_atom_site_fract_x
_atom_site_fract_y
_atom_site_fract_z
_atom_site_occupancy
Rb1 Rb 0.0000 0.0000 0.2386 1
Mn1 Mn 0.0000 0.0000 0.0000 1
P1 P 0.0000 0.0000 0.4404 1
S1 S 0.0020 0.5010 0.7525 1
```

Computed properties:
ΔE_f (raw) ... -592 meV per atom
Energy above the lowest structure with this stoichiometry ... 132 meV per atom

=====

[4]
Compound: Li12Tl3In
Source: Alexandria
Functional: PBE
Structure: relaxed

```
data_Li12Tl3In
_chemical_formula_sum 'Li12 Tl3 In1'
_cell_length_a 4.180
_cell_length_b 4.180
_cell_length_c 17.430
_cell_angle_alpha 90.00
_cell_angle_beta 90.00
_cell_angle_gamma 90.00
_symmetry_space_group_name_H-M 'P 4/m m m'
_symmetry_Int_Tables_number 123
_symmetry_space_group_name_Hall '-P 4 2'
loop_
_atom_site_label
_atom_site_type_symbol
_atom_site_fract_x
_atom_site_fract_y
_atom_site_fract_z
_atom_site_occupancy
Li1 Li 0.000 0.000 0.000 1
Li2 Li 0.000 0.000 0.249 1
Li3 Li 0.000 0.000 0.500 1
Li4 Li 0.000 0.500 0.124 1
Li5 Li 0.000 0.500 0.375 1
Tl1 Tl 0.500 0.500 0.249 1
Tl2 Tl 0.500 0.500 0.500 1
In1 In 0.500 0.500 0.000 1
```

Computed properties:
DFT formation energy ... -0.192 eV per atom

=====

[5]
Compound: SmDyHo2Tl2
Source: Alexandria
Functional: PBE
Structure: relaxed

```
data_SmDyHo2Tl2
_chemical_formula_sum 'Sm2 Dy2 Ho4 Tl4'
_cell_length_a 5.120
_cell_length_b 10.009
_cell_length_c 6.814
_cell_angle_alpha 90.00
_cell_angle_beta 90.00
_cell_angle_gamma 90.00
_symmetry_space_group_name_H-M 'P m c 21'
_symmetry_Int_Tables_number 26
loop_
_symmetry_equiv_pos_as_xyz
'x,y,z'
'-x,-y,z+1/2'
'-x,y,z'
'x,-y,z+1/2'
loop_
_atom_site_label
_atom_site_type_symbol
_atom_site_fract_x
_atom_site_fract_y
_atom_site_fract_z
_atom_site_occupancy
Sm1 Sm 0.000 0.042 0.000 1
Dy1 Dy 0.500 0.190 0.721 1
Ho1 Ho 0.000 0.317 0.374 1
Ho2 Ho 0.500 0.457 0.091 1
Tl1 Tl 0.000 0.367 0.837 1
Tl2 Tl 0.500 0.138 0.258 1
```

Computed properties:
DFT formation energy ... -0.268 eV per atom

=====

[6]
Compound: Tl2HgSb
Source: Alexandria
Functional: PBE
Structure: relaxed

```
data_Tl2HgSb
_chemical_formula_sum 'Tl2 Hg1 Sb1'
_cell_length_a 3.491
_cell_length_b 5.328
_cell_length_c 6.432
_cell_angle_alpha 90.00
_cell_angle_beta 97.52
_cell_angle_gamma 90.00
_symmetry_space_group_name_H-M 'P 1 m 1'
_symmetry_Int_Tables_number 6
loop_
_symmetry_equiv_pos_as_xyz
'x,y,z'
'x,-y,z'
loop_
_atom_site_label
_atom_site_type_symbol
_atom_site_fract_x
_atom_site_fract_y
_atom_site_fract_z
_atom_site_occupancy
Tl1 Tl 0.000 0.000 0.000 1
Tl2 Tl 0.219 0.500 0.670 1
Hg1 Hg 0.595 0.500 0.184 1
Sb1 Sb 0.618 0.000 0.467 1
```

Computed properties:
ΔE_f (raw) ... 22 meV per atom
Energy above the lowest structure with this stoichiometry ... 32 meV per atom

=====

Number 1: VASP energy -5.189 eV/atom. Number 2: VASP energy -6.701 eV/atom. Number 3: VASP energy -4.837 eV/atom. Number 4: VASP energy -2.242 eV/atom. Number 5: VASP energy -4.136 eV/atom. Number 6: VASP energy -2.267 eV/atom.